YTi2Ag: optimized geometry, PBE.

Values from the calculation:
formation energy: 363 meV per atom
ρ: 6.15 g/cm³
E: -5.913 eV per atom
energy above the most stable polymorph in this dataset: 0.0 meV per atom

a b c (Å): 4.8167 4.8167 4.8167
angles (deg): 60.00 60.00 60.00
Sites, in units of the cell vectors:
Y1 0.0000 0.0000 0.0000
Ti1 0.2500 0.2500 0.2500
Ti2 0.7500 0.7500 0.7500
Ag1 0.5000 0.5000 0.5000